! Li6Co2OF11 | Alexandria | PBE+U | optimized geometry; values from VASP
! VASP energy: -0.3504 Ry per atom
! symmetry: P1 (1)
! spin magnetization: 6.95 μB/f.u.
&SYSTEM
  ibrav = 0, nat = 20, ntyp = 4
/
ATOMIC_SPECIES
F 19.00 F.upf
Li 6.94 Li.upf
O 16.00 O.upf
Co 58.93 Co.upf
CELL_PARAMETERS angstrom
5.7740 0.3904 -0.1597
-2.5923 4.4785 -0.1647
-0.4047 -3.2644 8.0947
ATOMIC_POSITIONS crystal
F 0.7902 0.7135 0.2076
F 0.4582 0.4441 0.4391
Li 0.6640 0.4353 0.8073
F 0.9664 0.3406 0.3639
Li 0.8987 0.3865 0.1394
F 0.3707 0.3263 0.8886
O 0.1559 0.1264 0.1053
Co 0.1285 0.0721 0.3297
F 0.5435 0.0108 0.0385
Li 0.3563 0.7900 0.5080
Li 0.0128 0.2138 0.7256
F 0.0969 0.9874 0.5288
F 0.2366 0.7038 0.7279
F 0.9981 0.5159 0.9435
F 0.8654 0.8258 0.7823
Li 0.4553 0.6752 0.1110
F 0.6845 0.1722 0.6143
Co 0.2024 0.9348 0.9272
F 0.2862 0.7980 0.2786
Li 0.8113 0.5011 0.5329

! Li4Co7O3F13 | Alexandria | PBE+U | optimized geometry; values from VASP
! VASP energy: -0.3763 Ry per atom
! symmetry: P1 (1)
! spin magnetization: 3.97 μB/f.u.
&SYSTEM
  ibrav = 0, nat = 27, ntyp = 4
/
ATOMIC_SPECIES
Co 58.93 Co.upf
F 19.00 F.upf
O 16.00 O.upf
Li 6.94 Li.upf
CELL_PARAMETERS angstrom
-0.1208 -6.4987 1.0271
3.0298 1.9831 -3.9761
4.5151 2.4215 10.2574
ATOMIC_POSITIONS crystal
Co 0.0145 0.4939 0.4911
F 0.4741 0.8196 0.0738
Co 0.3449 0.6778 0.8744
F 0.9705 0.3017 0.0618
Co 0.8563 0.5919 0.7458
F 0.2286 0.9711 0.5559
O 0.5339 0.1380 0.9161
Co 0.1469 0.3422 0.2282
F 0.8034 0.0115 0.4287
F 0.0949 0.1252 0.8137
Li 0.6718 0.2821 0.1046
O 0.6902 0.1251 0.6959
Co 0.7766 0.1044 0.8473
Li 0.1637 0.7564 0.1098
Li 0.6489 0.8109 0.5312
F 0.9389 0.8639 0.1798
F 0.3425 0.8353 0.2890
Co 0.4064 0.1529 0.7574
F 0.4473 0.3727 0.1854
Li 0.3749 0.1598 0.4501
Co 0.6462 0.8497 0.2361
O 0.5953 0.6376 0.8011
F 0.0426 0.6399 0.9218
F 0.1538 0.6254 0.6869
F 0.8632 0.3483 0.2929
F 0.7254 0.5114 0.5462
F 0.2941 0.4511 0.4252

! Li3Co2OF5 | Alexandria | PBE+U | optimized geometry; values from VASP
! VASP energy: -0.3703 Ry per atom
! symmetry: C2 (5)
! spin magnetization: 5.98 μB/f.u.
! N(E_F): 0.00 states/eV per atom
&SYSTEM
  ibrav = 0, nat = 22, ntyp = 4
/
ATOMIC_SPECIES
F 19.00 F.upf
Li 6.94 Li.upf
Co 58.93 Co.upf
O 16.00 O.upf
CELL_PARAMETERS angstrom
0.4458 -1.3247 -4.9628
3.4053 3.1193 -2.2928
8.4839 -4.7279 -1.5348
ATOMIC_POSITIONS crystal
F 0.5380 0.6270 0.8328
F 0.8179 0.3813 0.3379
Li 0.3866 0.9667 0.6467
F 0.2226 0.3029 0.5000
Li 0.0333 0.6134 0.3533
Co 0.4599 0.5401 0.5000
F 0.6971 0.7774 0.5000
Li 0.2893 0.3719 0.8384
Co 0.2091 0.7909 0.0000
F 0.2640 0.8612 0.3378
Co 0.1316 0.2136 0.1547
Li 0.9600 0.0400 0.5000
Li 0.7088 0.2912 0.0000
F 0.3730 0.4620 0.1672
O 0.4523 0.0345 0.0000
F 0.8780 0.9525 0.1673
F 0.6187 0.1821 0.6621
Li 0.6281 0.7107 0.1616
F 0.1388 0.7360 0.6622
Co 0.7864 0.8684 0.8453
O 0.9655 0.5477 0.0000
F 0.0475 0.1220 0.8327